A plane-wave DFT calculation with PBE was carried out for a geometry-optimized CsCuPdS3 structure.

Results
* total energy: -99.011 eV/cell

Cell lengths 3.7477, 15.0710, 9.9960 Å; angles 90.00, 90.00, 90.00 degrees
With the nearest neighbours (Å) after each atom.
Space group Cmcm (No. 63)
Asymmetric unit:
Cs: 0.0000 0.2459 0.2500 (multiplicity 4)  8 S 3.53-3.65, 2 Cs 3.75, 2 Cu 3.75
Cu: 0.0000 0.0385 0.7500 (multiplicity 4)  4 S 2.28
Pd: 0.0000 0.5000 0.0000 (multiplicity 4)  6 S 2.45-2.60
S: 0.0000 0.1006 0.5422 (multiplicity 8)  1 Cu 2.28, 2 Pd 2.45
S: 0.0000 0.4523 0.7500 (multiplicity 4)  2 Cu 2.28


A plane-wave DFT calculation with PBE was carried out for a geometry-optimized LiThMo structure.

Results
* energy above the most stable polymorph in this dataset: 0 meV/atom
* total magnetization: 0.222 μB per cell
* total energy: -70.324 eV/cell

Cell lengths 6.2756, 6.2756, 6.2756 Å; angles 90.00, 90.00, 90.00 degrees
With the nearest neighbours (Å) after each atom.
Space group F-43m (No. 216)
Asymmetric unit:
Li: 0.0000 0.0000 0.0000 (multiplicity 4)  4 Mo 2.72, 4 Th 2.72
Th: 0.2500 0.2500 0.2500 (multiplicity 4)  4 Li 2.72
Mo: 0.2500 0.2500 0.7500 (multiplicity 4)  4 Li 2.72


A plane-wave DFT calculation with PBE was carried out for a geometry-optimized LuRe2 structure.

Results
* total magnetization: 0.010 μB per cell
* E_form: -0.28 eV per atom
* total energy: -241.576 eV/cell

Cell lengths 7.5763, 7.5763, 7.5763 Å; angles 90.00, 90.00, 90.00 degrees
With the nearest neighbours (Å) after each atom.
Space group Fd-3m (No. 227, origin choice 2)
Asymmetric unit:
Lu: 0.1250 0.1250 0.1250 (multiplicity 8)  12 Re 3.14, 4 Lu 3.28
Re: 0.0000 0.0000 0.5000 (multiplicity 16)  6 Re 2.68


A plane-wave DFT calculation with PBE was carried out for a geometry-optimized Al3TcHg structure.

Results
* total magnetization: 0.018 μB per cell
* total energy: -83.864 eV/cell

Cell lengths 4.1631, 25.7708, 3.5192 Å; angles 90.00, 90.00, 90.00 degrees
With the nearest neighbours (Å) after each atom.
Space group Cmmm (No. 65)
Asymmetric unit:
Al: 0.0000 0.0490 0.0000 (multiplicity 4)  2 Tc 2.51, 5 Al 2.52-2.74
Al: 0.0000 0.2161 0.5000 (multiplicity 4)  1 Tc 2.52, 2 Al 2.72
Al: 0.0000 0.4401 0.5000 (multiplicity 4)  2 Tc 2.57, 4 Al 2.74
Tc: 0.0000 0.1182 0.5000 (multiplicity 4)  5 Al 2.51-2.57
Hg: 0.0000 0.3404 0.0000 (multiplicity 4)  4 Tc 2.93, 6 Al 3.09-3.11